DFT (PBE+U) results for an optimized crystal structure of Li2Ti3CrO8.

The relative energy among the computed polymorphs is 28 meV per atom.

It has space group P6_3mc (No. 186), with a = 5.9146 Å, b = 5.9146 Å, c = 9.6944 Å, α = 90.00°, β = 90.00° and γ = 120.00°. The distinct sites, in fractional coordinates, are Li at (0.0000, 0.0000, 0.0000), Li at (0.3333, 0.6667, 0.3992), Ti at (0.1688, 0.3376, 0.7174), Cr at (0.3333, 0.6667, 0.9873), O at (0.0000, 0.0000, 0.3164), O at (0.0400, 0.5200, 0.8422), O at (0.1635, 0.3270, 0.1067) and O at (0.3333, 0.6667, 0.6077).